one.
Below is La2MgCl after structural relaxation, with properties calculated at the GGA-PBEsol level.

a b c (Å): 8.1526 8.1526 8.1526
angles (deg): 29.70 29.70 29.70
Last column: nearest neighbours and their distance in Å.
Fractional coordinates of all 4 atoms:
La 0.2336 0.2336 0.2336  3 Cl 2.88
La 0.7664 0.7664 0.7664  3 Cl 2.88
Mg 0.0000 0.0000 0.0000  6 La 3.35
Cl 0.5000 0.5000 0.5000  6 La 2.88

The space-group type is R-3m. As for the density of states at the Fermi level: 4.42 states/eV/cell.

two.
Below is La2MgCl after structural relaxation, with properties calculated at the GGA-PBEsol level.

a b c (Å): 5.3434 5.3434 5.3434
angles (deg): 60.00 60.00 60.00
Last column: nearest neighbours and their distance in Å.
Fractional coordinates of all 4 atoms:
La 0.0000 0.0000 0.0000  4 La 3.27, 4 Mg 3.27
La 0.2500 0.2500 0.2500  4 Cl 3.27, 4 La 3.27
Mg 0.7500 0.7500 0.7500  4 Cl 3.27, 4 La 3.27
Cl 0.5000 0.5000 0.5000  4 Mg 3.27, 4 La 3.27

The space-group type is F-43m. As for the density of states at the Fermi level: 5.83 states/eV/cell.

three.
Below is La2MgCl after structural relaxation, with properties calculated at the GGA-PBEsol level.

a b c (Å): 3.5062 3.5062 10.2503
angles (deg): 90.00 90.00 116.95
Last column: nearest neighbours and their distance in Å.
Fractional coordinates of all 4 atoms:
La 0.0000 0.0000 0.0000  2 Mg 3.34, 8 La 3.51-3.67
La 0.5000 0.5000 0.2940  2 Cl 3.00
Mg 0.5000 0.5000 0.7279  2 Cl 2.77
Cl 0.0000 0.0000 0.5255  2 Mg 2.77, 2 La 3.00

The space-group type is Cmm2. As for the density of states at the Fermi level: 3.25 states/eV/cell.

Relative to the most stable one, in kJ/mol of atoms, the structures come out at one 0.0; two 62.1; three 15.6.

one.
Below is LaMn2Cl after structural relaxation, with properties calculated at the GGA-PBEsol level.

a b c (Å): 3.2362 3.2362 8.3677
angles (deg): 90.00 90.00 90.00
Last column: nearest neighbours and their distance in Å.
Fractional coordinates of all 4 atoms:
La 0.0000 0.0000 0.0000  4 Cl 2.91, 1 Mn 3.22, 4 La 3.24
Mn 0.0000 0.0000 0.3851  4 Mn 2.45
Mn 0.5000 0.5000 0.2796  4 Mn 2.45
Cl 0.5000 0.5000 0.7849  4 La 2.91, 4 Cl 3.24

The space-group type is P4mm. As for the density of states at the Fermi level: 2.93 states/eV/cell.

two.
Below is LaMn2Cl after structural relaxation, with properties calculated at the GGA-PBEsol level.

a b c (Å): 4.8350 4.8350 4.8350
angles (deg): 60.00 60.00 60.00
Last column: nearest neighbours and their distance in Å.
Fractional coordinates of all 4 atoms:
La 0.0000 0.0000 0.0000  4 Cl 2.96, 4 Mn 2.96
Mn 0.2500 0.2500 0.2500  4 La 2.96, 4 Mn 2.96
Mn 0.5000 0.5000 0.5000  4 Mn 2.96, 4 Cl 2.96
Cl 0.7500 0.7500 0.7500  4 Mn 2.96, 4 La 2.96

The space-group type is F-43m. As for the density of states at the Fermi level: 6.77 states/eV/cell.

Relative to the most stable one, in kJ/mol of atoms, the structures come out at one 0.0; two 37.4.

one.
Below is LaMn2Cl after structural relaxation, with properties calculated at the GGA-PBEsol level.

a b c (Å): 3.2148 3.1743 7.5596
angles (deg): 90.00 102.34 90.00
Last column: nearest neighbours and their distance in Å.
Fractional coordinates of all 4 atoms:
La 0.0000 0.0000 0.0000  4 Cl 3.08, 5 Mn 3.11-3.25, 4 La 3.17-3.21
Mn 0.2195 0.0000 0.4395  4 Mn 2.51, 2 Cl 2.59
Mn 0.6451 0.5000 0.2905  4 Mn 2.51
Cl 0.3581 0.5000 0.7173  2 Mn 2.59

The space-group type is Pm. As for the density of states at the Fermi level: 2.87 states/eV/cell.

two.
Below is LaMn2Cl after structural relaxation, with properties calculated at the GGA-PBEsol level.

a b c (Å): 3.2988 5.4412 4.5299
angles (deg): 90.00 90.13 90.00
Last column: nearest neighbours and their distance in Å.
Fractional coordinates of all 4 atoms:
La 0.0000 0.0000 0.0000  4 Cl 2.80, 4 Mn 2.90
Mn 0.2278 0.5000 0.1431  2 Mn 1.98-2.22
Mn 0.7722 0.5000 0.8569  2 Mn 1.98-2.22
Cl 0.5000 0.0000 0.5000  4 La 2.80

The space-group type is P2/m. As for the density of states at the Fermi level: 5.12 states/eV/cell.

Relative to the most stable one, in kJ/mol of atoms, the structures come out at one 0.0; two 35.5.

one.
Below is LaMn2Cl after structural relaxation, with properties calculated at the GGA-PBEsol level.

a b c (Å): 5.0168 5.0168 5.0168
angles (deg): 136.68 112.03 84.11
Last column: nearest neighbours and their distance in Å.
Fractional coordinates of all 4 atoms:
La 0.0000 0.0000 0.0000  4 Cl 2.91-3.17, 4 Mn 3.02-3.11
Mn 0.4995 0.4995 0.0000  2 Mn 2.29, 2 Cl 2.37
Mn 0.6799 0.1799 0.5000  2 Mn 2.29
Cl 0.3018 0.8018 0.5000  2 Mn 2.37

The space-group type is Imm2. As for the density of states at the Fermi level: 5.02 states/eV/cell.

two.
Below is LaMn2Cl after structural relaxation, with properties calculated at the GGA-PBEsol level.

a b c (Å): 5.7796 5.7796 4.6116
angles (deg): 111.19 111.19 32.86
Last column: nearest neighbours and their distance in Å.
Fractional coordinates of all 4 atoms:
La 0.0000 0.0000 0.0000  4 Cl 2.83, 2 Mn 2.92
Mn 0.2802 0.2802 0.1504  2 Mn 2.08
Mn 0.7198 0.7198 0.8496  2 Mn 2.08
Cl 0.5000 0.5000 0.5000  2 Mn 2.36

The space-group type is C2/m. As for the density of states at the Fermi level: 3.03 states/eV/cell.

Relative to the most stable one, in kJ/mol of atoms, the structures come out at one 8.6; two 0.0.

one.
Below is La2MnCl after structural relaxation, with properties calculated at the GGA-PBEsol level.

a b c (Å): 3.3659 3.3659 8.0147
angles (deg): 90.00 90.00 90.00
Last column: nearest neighbours and their distance in Å.
Fractional coordinates of all 4 atoms:
La 0.0000 0.0000 0.2181  4 Mn 2.95, 4 Cl 3.28
La 0.0000 0.0000 0.7819  4 Mn 2.95, 4 Cl 3.28
Mn 0.5000 0.5000 0.0000  8 La 2.95
Cl 0.5000 0.5000 0.5000  8 La 3.28, 4 Cl 3.37

The space-group type is P4/mmm. As for the density of states at the Fermi level: 4.07 states/eV/cell.

two.
Below is La2MnCl after structural relaxation, with properties calculated at the GGA-PBEsol level.

a b c (Å): 5.1068 5.1068 5.1068
angles (deg): 60.00 60.00 60.00
Last column: nearest neighbours and their distance in Å.
Fractional coordinates of all 4 atoms:
La 0.0000 0.0000 0.0000  4 Mn 3.13, 4 La 3.13
La 0.2500 0.2500 0.2500  4 La 3.13, 4 Cl 3.13
Mn 0.7500 0.7500 0.7500  4 Cl 3.13, 4 La 3.13
Cl 0.5000 0.5000 0.5000  4 Mn 3.13, 4 La 3.13

The space-group type is F-43m. As for the density of states at the Fermi level: 6.27 states/eV/cell.

Relative to the most stable one, in kJ/mol of atoms, the structures come out at one 0.0; two 66.9.

one.
Below is LaMoCl2 after structural relaxation, with properties calculated at the GGA-PBEsol level.

a b c (Å): 5.7840 5.7840 4.9802
angles (deg): 91.02 91.02 35.10
Last column: nearest neighbours and their distance in Å.
Fractional coordinates of all 4 atoms:
La 0.0000 0.0000 0.0000  4 Cl 2.90, 4 Mo 3.04
Mo 0.5000 0.5000 0.5000  2 Cl 2.39
Cl 0.3187 0.3187 0.7572  1 Mo 2.39
Cl 0.6813 0.6813 0.2428  1 Mo 2.39

The space-group type is C2/m. As for the density of states at the Fermi level: 3.32 states/eV/cell.

two.
Below is LaMoCl2 after structural relaxation, with properties calculated at the GGA-PBEsol level.

a b c (Å): 6.1596 6.1596 6.1596
angles (deg): 147.77 133.91 57.36
Last column: nearest neighbours and their distance in Å.
Fractional coordinates of all 4 atoms:
La 0.0000 0.0000 0.0000  4 Mo 2.96, 4 Cl 3.01
Mo 0.5000 0.5000 0.0000  4 Cl 2.49
Cl 0.3328 0.8328 0.5000  2 Mo 2.49
Cl 0.6672 0.1672 0.5000  2 Mo 2.49

The space-group type is Immm. As for the density of states at the Fermi level: 3.48 states/eV/cell.

Relative to the most stable one, in kJ/mol of atoms, the structures come out at one 10.8; two 0.0.